Computed, not measured: a relaxed HfUO5 crystal at the PBE level of DFT.

It has space group Immm (No. 71), with a = 3.898 Å, b = 6.641 Å, c = 8.136 Å, α = 90.00°, β = 90.00° and γ = 90.00°. The distinct sites, in fractional coordinates, are Hf at (0.000, 0.000, 0.000), U at (0.000, 0.000, 0.500), O at (0.000, 0.000, 0.268), O at (0.000, 0.314, 0.000) and O at (0.000, 0.500, 0.500).

The calculation puts the energy relative to the elements, uncorrected at -73.3 kcal/mol of atoms.